Entry from the Alexandria database: a geometry-optimized Re2MoRu structure (PBE-GGA).

Calculated values
ΔE_f = 1.643 eV/atom
Volume = 179 Å³ per cell
D(E_F) = 4.2 states/eV/f.u.
Relative energy among the computed polymorphs = 1629 meV per atom

a b c (Å): 5.5877 5.5877 6.9641
angles (deg): 66.35 66.35 90.00
With the nearest neighbours (Å) after each atom.
Fractional coordinates of all 8 atoms:
Re1 0.1126 0.6250 0.2500  2 Ru 2.40, 2 Mo 2.48
Re2 0.6374 0.1250 0.2500  2 Ru 2.40, 2 Mo 2.48
Re3 0.3750 0.3626 0.7500  2 Ru 2.40, 2 Mo 2.48
Re4 0.8750 0.8874 0.7500  2 Ru 2.40, 2 Mo 2.48
Mo1 0.5000 0.5000 0.0000  4 Re 2.48
Mo2 0.2500 0.7500 0.5000  4 Re 2.48
Ru1 0.7500 0.2500 0.5000  4 Re 2.40
Ru2 0.0000 0.0000 0.0000  4 Re 2.40



Entry from the Alexandria database: a geometry-optimized Re2MoRu structure (PBE-GGA).

Calculated values
ΔE_f = 0.066 eV/atom
Volume = 60 Å³ per cell
D(E_F) = 4.0 states/eV/f.u.
Relative energy among the computed polymorphs = 52 meV per atom

a b c (Å): 3.9327 3.8989 3.8989
angles (deg): 90.00 90.00 90.00
With the nearest neighbours (Å) after each atom.
Fractional coordinates of all 4 atoms:
Re1 0.0000 0.0000 0.0000  4 Re 2.76, 4 Mo 2.77, 4 Ru 2.77
Re2 0.0000 0.5000 0.5000  4 Re 2.76, 4 Mo 2.77, 4 Ru 2.77
Ru1 0.5000 0.5000 0.0000  4 Mo 2.76, 8 Re 2.77
Mo1 0.5000 0.0000 0.5000  4 Ru 2.76, 8 Re 2.77



Entry from the Alexandria database: a geometry-optimized ReMoRu2 structure (PBE-GGA).

Calculated values
ΔE_f = 0.024 eV/atom
Volume = 59 Å³ per cell
D(E_F) = 4.7 states/eV/f.u.
Relative energy among the computed polymorphs = 2 meV per atom

a b c (Å): 6.1481 4.7512 2.7477
angles (deg): 89.98 63.48 121.19
With the nearest neighbours (Å) after each atom.
Fractional coordinates of all 4 atoms:
Ru1 0.0000 0.0000 0.0000  4 Re 2.74, 4 Mo 2.74, 4 Ru 2.75
Ru2 0.5000 0.0000 0.5000  4 Mo 2.74, 4 Re 2.74, 4 Ru 2.75
Mo1 0.0000 0.5000 0.5000  8 Ru 2.74, 2 Mo 2.75, 2 Re 2.75
Re1 0.5000 0.5000 0.0000  8 Ru 2.74, 2 Re 2.75, 2 Mo 2.75



Entry from the Alexandria database: a geometry-optimized Re2MoRu structure (PBE-GGA).

Calculated values
ΔE_f = 0.331 eV/atom
Volume = 60 Å³ per cell
D(E_F) = 6.8 states/eV/f.u.
Relative energy among the computed polymorphs = 317 meV per atom

a b c (Å): 4.4033 4.4033 4.4033
angles (deg): 60.00 60.00 60.00
With the nearest neighbours (Å) after each atom.
Fractional coordinates of all 4 atoms:
Re1 0.2500 0.2500 0.2500  4 Mo 2.70, 4 Ru 2.70
Re2 0.7500 0.7500 0.7500  4 Mo 2.70, 4 Ru 2.70
Ru1 0.5000 0.5000 0.5000  8 Re 2.70
Mo1 0.0000 0.0000 0.0000  8 Re 2.70